Below is a geometry-optimized Pm3DyHo6 structure, with properties calculated at the PBE level.

The structure in POSCAR format:
```
Pm3DyHo6
1.0
-4.766 1.410 -3.837
-5.708 -8.419 3.996
-0.860 9.836 4.684
Pm Dy Ho
6 2 12
direct
0.461 0.938 0.715
0.961 0.715 0.938
0.068 0.389 0.611
0.568 0.611 0.389
0.961 0.062 0.285
0.461 0.285 0.062
0.136 0.200 0.800
0.636 0.800 0.200
0.043 0.712 0.619
0.543 0.619 0.712
0.369 0.533 0.953
0.869 0.953 0.533
0.390 0.957 0.043
0.645 0.276 0.724
0.145 0.724 0.276
0.890 0.043 0.957
0.369 0.047 0.467
0.869 0.467 0.047
0.043 0.381 0.288
0.543 0.288 0.381
```

Values from the calculation:
Its crystal system is orthorhombic. The energy of formation from the pure elements comes out at 0.15 eV/atom. The space group is Cmc2_1, No. 36. Its energy above the lowest structure with this stoichiometry is 12.69 kJ/mol of atoms.

---

Below is a geometry-optimized LiGaTc structure, with properties calculated at the PBE level.

The structure in POSCAR format:
```
LiGaTc
1.0
4.300 0.000 0.000
-2.150 3.724 0.000
0.000 0.000 5.296
Li Ga Tc
2 2 2
direct
0.333 0.667 0.295
0.667 0.333 0.608
0.000 0.000 0.459
0.667 0.333 0.086
0.000 0.000 0.951
0.333 0.667 0.808
```

Values from the calculation:
Its crystal system is trigonal. The energy of formation from the pure elements comes out at -0.16 eV/atom. The space group is P3m1, No. 156. Its energy above the lowest structure with this stoichiometry is 4.83 kJ/mol of atoms.

---

Below is a geometry-optimized Be2H2Au structure, with properties calculated at the PBE level.

The structure in POSCAR format:
```
Be2H2Au
1.0
-1.445 2.539 1.495
-1.906 -2.076 1.683
0.996 0.080 4.428
Be Au H
2 1 2
direct
0.750 0.250 0.500
0.250 0.750 0.500
0.000 0.000 0.000
0.321 0.321 0.358
0.679 0.679 0.642
```

Values from the calculation:
Its crystal system is tetragonal. The space group is I4/mmm, No. 139. Its energy above the lowest structure with this stoichiometry is 0.00 kJ/mol of atoms.

---

Below is a geometry-optimized K4Au2O structure, with properties calculated at the PBE level.

The structure in POSCAR format:
```
K4Au2O
1.0
5.288 0.000 0.000
0.000 5.288 0.000
2.644 2.644 8.495
K Au O
4 2 1
direct
0.153 0.153 0.693
0.847 0.847 0.307
0.000 0.500 0.000
0.500 0.000 0.000
0.356 0.356 0.289
0.644 0.644 0.711
0.000 0.000 0.000
```

Values from the calculation:
Its crystal system is tetragonal. The uncorrected formation energy comes out at -625 meV per atom. The space group is I4/mmm, No. 139. Its energy above the lowest structure with this stoichiometry is 0.00 kJ/mol of atoms.

---

Below is a geometry-optimized Zn2Ag3HgAu3 structure, with properties calculated at the PBE level.

The structure in POSCAR format:
```
Zn2Ag3HgAu3
1.0
2.953 0.000 0.000
0.000 7.888 0.000
0.000 -3.944 6.831
Zn Ag Hg Au
2 3 1 3
direct
0.500 0.667 0.333
0.500 0.333 0.667
0.500 0.686 0.000
0.500 0.000 0.686
0.500 0.314 0.314
0.000 0.000 0.000
0.000 0.626 0.626
0.000 0.000 0.374
0.000 0.374 0.000
```

Values from the calculation:
Its crystal system is hexagonal. The energy of formation from the pure elements comes out at -0.06 eV/atom. The space group is P-62m, No. 189.

---

Below is a geometry-optimized Pr3YTe4 structure, with properties calculated at the PBE level.

The structure in POSCAR format:
```
Pr3YTe4
1.0
4.384 0.000 0.000
-2.192 3.796 0.000
0.000 0.000 30.873
Pr Y Te
6 2 8
direct
0.000 0.000 0.000
0.000 0.000 0.500
0.333 0.667 0.874
0.667 0.333 0.126
0.667 0.333 0.374
0.333 0.667 0.626
0.667 0.333 0.750
0.333 0.667 0.250
0.667 0.333 0.937
0.333 0.667 0.063
0.333 0.667 0.437
0.667 0.333 0.563
0.000 0.000 0.810
0.000 0.000 0.190
0.000 0.000 0.310
0.000 0.000 0.690
```

Values from the calculation:
Its crystal system is hexagonal. The uncorrected formation energy comes out at -1385 meV per atom. The space group is P6_3/mmc, No. 194. Its energy above the lowest structure with this stoichiometry is 1.88 kJ/mol of atoms.

---

Below is a geometry-optimized AcNdDy2Y2 structure, with properties calculated at the PBE level.

The structure in POSCAR format:
```
AcNdDy2Y2
1.0
5.776 0.000 0.000
0.000 10.028 0.000
0.000 0.000 7.106
Ac Nd Dy Y
2 2 4 4
direct
0.000 0.000 0.000
0.500 0.500 0.500
0.500 0.500 0.000
0.000 0.000 0.500
0.500 0.167 0.252
0.000 0.667 0.248
0.500 0.833 0.748
0.000 0.333 0.752
0.500 0.833 0.251
0.500 0.167 0.749
0.000 0.667 0.751
0.000 0.333 0.249
```

Values from the calculation:
Its crystal system is orthorhombic. The energy of formation from the pure elements comes out at 0.07 eV/atom. The space group is Pnnm, No. 58.

---

Below is a geometry-optimized Pr2TeI3 structure, with properties calculated at the PBE level.

The structure in POSCAR format:
```
Pr2TeI3
1.0
4.405 0.000 0.000
0.000 11.218 -2.383
0.000 -3.878 12.750
Pr Te I
4 2 6
direct
0.250 0.306 0.835
0.750 0.694 0.165
0.750 0.079 0.383
0.250 0.921 0.617
0.250 0.858 0.350
0.750 0.142 0.650
0.750 0.935 0.114
0.250 0.065 0.886
0.750 0.541 0.883
0.250 0.459 0.117
0.250 0.299 0.436
0.750 0.701 0.564
```

Values from the calculation:
Its crystal system is monoclinic. The uncorrected formation energy comes out at -1358 meV per atom. The space group is P2_1/m, No. 11. Its energy above the lowest structure with this stoichiometry is 0.00 kJ/mol of atoms.

---

Below is a geometry-optimized SrNdEuIn structure, with properties calculated at the PBE level.

The structure in POSCAR format:
```
SrNdEuIn
1.0
-5.355 1.232 -1.828
-1.721 -1.686 -5.266
-3.917 -4.230 -0.550
Eu Sr Nd In
1 1 1 1
direct
0.250 0.250 0.250
0.500 0.500 0.500
0.750 0.750 0.750
0.000 0.000 0.000
```

Values from the calculation:
Its crystal system is cubic. The energy of formation from the pure elements comes out at -0.10 eV/atom. The space group is F-43m, No. 216.

---

Below is a geometry-optimized Rb2NaIn12Pt3 structure, with properties calculated at the PBE level.

The structure in POSCAR format:
```
Rb2NaIn12Pt3
1.0
-2.618 -7.873 -3.077
-2.212 -5.207 6.805
-8.817 -0.551 0.511
Rb Na In Pt
2 1 12 3
direct
0.593 0.593 0.593
0.407 0.407 0.407
0.000 0.000 0.000
0.266 0.266 0.912
0.860 0.860 0.370
0.370 0.860 0.860
0.912 0.266 0.266
0.860 0.370 0.860
0.266 0.912 0.266
0.734 0.734 0.088
0.140 0.140 0.630
0.630 0.140 0.140
0.088 0.734 0.734
0.140 0.630 0.140
0.734 0.088 0.734
0.500 0.000 0.000
0.000 0.500 0.000
0.000 0.000 0.500
```

Values from the calculation:
Its crystal system is trigonal. The energy of formation from the pure elements comes out at -0.08 eV/atom. The space group is R-3m, No. 166.